(1)
Computed, not measured: RbPbN3 after structural relaxation at the PBE level of DFT. Values from VASP.

```
&SYSTEM
  ibrav = 0, nat = 5, ntyp = 3
/
ATOMIC_SPECIES
N 14.01 N.upf
Rb 85.47 Rb.upf
Pb 207.20 Pb.upf
ATOMIC_POSITIONS angstrom
N -0.482 -1.680 1.470
N -0.012 -1.502 -1.720
Rb -2.726 -2.811 -0.559
Pb 0.000 0.000 0.000
N -2.232 0.371 -0.308
CELL_PARAMETERS angstrom
-0.024 -3.003 -3.441
-0.964 -3.360 2.939
-4.464 0.741 -0.616
```

Output
Raw formation energy = 1.678 eV/atom
Volume = 95 Å³/f.u.
SG = Pm-3m
Density of states at the Fermi level = 0.418 states/eV/atom

---

(2)
Computed, not measured: RbPbN2 after structural relaxation at the PBE level of DFT. Values from VASP.

```
&SYSTEM
  ibrav = 0, nat = 4, ntyp = 3
/
ATOMIC_SPECIES
Rb 85.47 Rb.upf
N 14.01 N.upf
Pb 207.20 Pb.upf
ATOMIC_POSITIONS angstrom
Rb 0.000 0.000 10.955
N 0.000 0.000 19.934
N 0.000 0.000 1.975
Pb 0.000 0.000 0.000
CELL_PARAMETERS angstrom
2.554 0.000 7.303
-1.277 2.212 7.303
-1.277 -2.212 7.303
```

Output
Raw formation energy = 1.287 eV/atom
Volume = 124 Å³/f.u.
SG = R-3m
Density of states at the Fermi level = 1.211 states/eV/atom

---

(3)
Computed, not measured: RbPbN2 after structural relaxation at the PBE level of DFT. Values from VASP.

```
&SYSTEM
  ibrav = 0, nat = 4, ntyp = 3
/
ATOMIC_SPECIES
N 14.01 N.upf
Rb 85.47 Rb.upf
Pb 207.20 Pb.upf
ATOMIC_POSITIONS angstrom
N -0.973 -1.192 2.157
Rb 0.000 0.000 0.000
Pb -4.180 -5.121 9.269
N -7.387 -9.051 16.381
CELL_PARAMETERS angstrom
-4.614 -2.487 5.867
-2.405 -5.265 5.328
-1.341 -2.490 7.342
```

Output
Raw formation energy = 1.124 eV/atom
Volume = 85 Å³/f.u.
SG = R-3m
Density of states at the Fermi level = 0.668 states/eV/atom